(1)
Below is K2AgAsI6 after structural relaxation, with properties calculated at the GGA-PBE level.

POSCAR file:
```
K2AgAsI6
1.0
4.195 2.422 7.218
-4.195 2.422 7.218
0.000 -4.844 7.218
K Ag As I
2 1 1 6
Cartesian
0.000 0.000 0.000
0.000 0.000 10.637
0.000 0.000 6.235
0.000 0.000 15.431
-1.913 -2.928 9.688
-2.338 0.381 13.393
-1.579 3.121 9.688
0.839 -2.215 13.393
3.492 -0.192 9.688
1.499 1.834 13.393
```

Calculated values
N(E_F) (states/eV/f.u.): 0.00
Uncorrected energy (eV/atom): -2.592
Magnetic moment (μB per cell): 0.00
E_form (uncorrected) (eV/f.u.): -6.93

=====

(2)
Below is La8AgAs3I4 after structural relaxation, with properties calculated at the GGA-PBE level.

POSCAR file:
```
La8AgAs3I4
1.0
4.442 2.565 7.611
-4.442 2.565 7.611
0.000 -5.130 7.611
La Ag As I
8 1 3 4
Cartesian
-2.289 -1.321 13.039
0.000 0.000 5.359
0.000 -2.643 9.793
-2.289 1.321 9.793
2.289 -1.321 13.039
0.000 2.643 13.039
0.000 0.000 17.474
2.289 1.321 9.793
0.000 0.000 11.416
-4.442 0.000 11.416
-2.221 1.282 3.805
2.221 1.282 3.805
0.000 0.000 0.000
-2.221 -1.282 7.611
-2.221 1.282 15.222
0.000 2.565 7.611
```

Calculated values
N(E_F) (states/eV/f.u.): 12.23
Uncorrected energy (eV/atom): -5.084
Magnetic moment (μB per cell): 0.00
E_form (uncorrected) (eV/f.u.): -18.92